! VGeOs2F PBE+U relaxed; values from VASP
&SYSTEM
  ibrav = 0, nat = 5, ntyp = 4
/
ATOMIC_SPECIES
Ge 72.64 Ge.upf
F 19.00 F.upf
Os 190.23 Os.upf
V 50.94 V.upf
CELL_PARAMETERS angstrom
4.1956 0.0000 0.0000
0.0000 4.2322 0.0000
0.0000 0.0000 4.1956
ATOMIC_POSITIONS crystal
Ge 0.0000 0.5000 0.0000
F 0.0000 0.0000 0.0000
Os 0.0000 0.0000 0.5000
Os 0.5000 0.0000 0.0000
V 0.5000 0.5000 0.5000
! Total DFT energy (no corrections) = -5.86 eV/atom
! Space-group type = No. 123
! Size of the total moment = 0.00 μB per cell